No. 1
NpScNi14 (GGA-PBE, optimized geometry); ΔE_f = -95 meV/atom; space-group type = No. 123; total magnetic moment = 2.09 μB per cell
1.0
-2.631 -3.410 2.902
4.167 -0.633 3.035
-2.250 5.307 4.196
Ni Np Sc
14 1 1
Direct
0.126 0.624 0.764 Ni
0.624 0.126 0.764 Ni
0.375 0.875 0.000 Ni
0.375 0.375 0.000 Ni
0.624 0.126 0.236 Ni
0.875 0.375 0.000 Ni
0.126 0.126 0.236 Ni
0.624 0.624 0.236 Ni
0.875 0.375 0.500 Ni
0.375 0.875 0.500 Ni
0.875 0.875 0.000 Ni
0.126 0.126 0.764 Ni
0.624 0.624 0.764 Ni
0.126 0.624 0.236 Ni
0.375 0.375 0.500 Np
0.875 0.875 0.500 Sc


No. 2
NpScNi4 (GGA-PBE, optimized geometry); ΔE_f = -274 meV/atom; space-group type = No. 216; energy above the most stable polymorph in this dataset = 45 meV per atom; total magnetic moment = 3.85 μB per cell
1.0
4.958 0.000 0.000
2.479 4.294 0.000
2.479 1.431 4.048
Ni Sc Np
4 1 1
Direct
0.125 0.625 0.625 Ni
0.625 0.625 0.125 Ni
0.625 0.125 0.625 Ni
0.625 0.625 0.625 Ni
0.000 0.000 0.000 Sc
0.250 0.250 0.250 Np


No. 3
NpSc2Ni9 (GGA-PBE, optimized geometry); ΔE_f = -345 meV/atom; space-group type = No. 166; total magnetic moment = 2.38 μB per cell
1.0
-1.302 4.584 0.969
-3.700 2.038 -2.410
-6.716 -0.400 5.066
Ni Sc Np
9 2 1
Direct
0.586 0.082 0.746 Ni
0.082 0.586 0.746 Ni
0.414 0.918 0.254 Ni
0.414 0.414 0.254 Ni
0.918 0.414 0.254 Ni
0.500 0.500 0.500 Ni
0.333 0.333 0.000 Ni
0.586 0.586 0.746 Ni
0.667 0.667 0.000 Ni
0.141 0.141 0.577 Sc
0.859 0.859 0.423 Sc
0.000 0.000 0.000 Np


No. 4
NpNi2Se3 (GGA-PBE, optimized geometry); space-group type = No. 11; uncorrected formation energy = -0.5871 eV per atom; total magnetic moment = 4.76 μB per cell
1.0
3.873 0.000 0.000
0.000 6.403 0.569
0.000 -1.931 10.188
Se Np Ni
6 2 4
Direct
0.750 0.650 0.876 Se
0.750 0.741 0.555 Se
0.250 0.259 0.445 Se
0.750 0.878 0.207 Se
0.250 0.350 0.124 Se
0.250 0.122 0.793 Se
0.250 0.661 0.335 Np
0.750 0.339 0.665 Np
0.250 0.963 0.575 Ni
0.750 0.536 0.086 Ni
0.750 0.037 0.425 Ni
0.250 0.464 0.914 Ni


No. 5
Np2NiSe6 (GGA-PBE, optimized geometry); space-group type = No. 136; uncorrected formation energy = -0.5767 eV per atom; total magnetic moment = 11.16 μB per cell
1.0
6.336 0.000 0.000
0.000 6.336 0.000
0.000 0.000 11.887
Se Np Ni
12 4 2
Direct
0.693 0.693 0.146 Se
0.693 0.693 0.854 Se
0.795 0.205 0.000 Se
0.307 0.307 0.146 Se
0.705 0.705 0.500 Se
0.807 0.193 0.354 Se
0.807 0.193 0.646 Se
0.193 0.807 0.646 Se
0.295 0.295 0.500 Se
0.205 0.795 0.000 Se
0.307 0.307 0.854 Se
0.193 0.807 0.354 Se
0.500 0.500 0.673 Np
0.000 0.000 0.173 Np
0.500 0.500 0.327 Np
0.000 0.000 0.827 Np
0.500 0.500 0.000 Ni
0.000 0.000 0.500 Ni


No. 6
Np2NiSe4 (GGA-PBE, optimized geometry); space-group type = No. 11; uncorrected formation energy = -0.8994 eV per atom; total magnetic moment = 14.42 μB per cell
1.0
6.844 0.000 0.086
0.000 5.838 0.000
-2.422 0.000 7.646
Se Ni Np
8 2 4
Direct
0.519 0.008 0.257 Se
0.481 0.508 0.743 Se
0.080 0.750 0.893 Se
0.481 0.992 0.743 Se
0.069 0.750 0.392 Se
0.519 0.492 0.257 Se
0.931 0.250 0.608 Se
0.920 0.250 0.107 Se
0.748 0.250 0.811 Ni
0.252 0.750 0.189 Ni
0.241 0.250 0.941 Np
0.237 0.250 0.429 Np
0.763 0.750 0.571 Np
0.759 0.750 0.059 Np